No. 1
DFT (PBE) results for a geometry-optimized FeSiAs2 structure.

## Properties
ΔE_f (raw) ... 0.2 eV per formula unit
Space-group type ... Pm (6)

Cell lengths 2.8671, 3.5814, 6.9452 Å; angles 90.00, 90.50, 90.00 degrees
Element x y z (fractional)
Fe 0.0000 0.0000 0.0000
Si 0.4989 0.5000 0.9422
As 0.0060 0.5000 0.2633
As 0.4934 0.0000 0.6981

No. 2
DFT (PBE) results for a geometry-optimized Dy2ZrBi structure.

## Properties
Electronic total energy ... -5.6690 eV per atom
Space-group type ... P4/mmm (123)

Cell lengths 4.0168, 4.0168, 6.8986 Å; angles 90.00, 90.00, 90.00 degrees
Element x y z (fractional)
Dy 0.0000 0.0000 0.2469
Dy 0.0000 0.0000 0.7531
Zr 0.5000 0.5000 0.5000
Bi 0.5000 0.5000 0.0000

No. 3
DFT (PBE) results for a geometry-optimized BaMgCu2H8 structure.

## Properties
Electronic total energy ... -3.1635 eV per atom
Space-group type ... P-3 (147)

Cell lengths 4.8072, 4.8072, 6.9936 Å; angles 90.00, 90.00, 120.00 degrees
Element x y z (fractional)
Ba 0.0000 0.0000 0.0000
Mg 0.0000 0.0000 0.5000
Cu 0.3333 0.6667 0.6846
Cu 0.6667 0.3333 0.3154
H 0.0059 0.3225 0.6747
H 0.3167 0.9941 0.6747
H 0.3225 0.3167 0.3253
H 0.3333 0.6667 0.9109
H 0.6667 0.3333 0.0891
H 0.6775 0.6833 0.6747
H 0.6833 0.0059 0.3253
H 0.9941 0.6775 0.3253

No. 4
DFT (PBE) results for a geometry-optimized Sc5Co3 structure.

## Properties
Electronic total energy ... -6.8788 eV per atom
Space-group type ... C2/c (15)

Cell lengths 7.4921, 7.4921, 5.6396 Å; angles 108.65, 108.65, 85.02 degrees
Element x y z (fractional)
Sc 0.0121 0.9879 0.7500
Sc 0.2065 0.6269 0.4282
Sc 0.2160 0.3650 0.8054
Sc 0.3650 0.2160 0.3054
Sc 0.3731 0.7935 0.0718
Sc 0.6269 0.2065 0.9282
Sc 0.6350 0.7840 0.6946
Sc 0.7840 0.6350 0.1946
Sc 0.7935 0.3731 0.5718
Sc 0.9879 0.0121 0.2500
Co 0.0099 0.6783 0.9297
Co 0.3217 0.9901 0.5703
Co 0.4967 0.5033 0.2500
Co 0.5033 0.4967 0.7500
Co 0.6783 0.0099 0.4297
Co 0.9901 0.3217 0.0703

No. 5
DFT (PBE) results for a geometry-optimized Sr2TcRh structure.

## Properties
Electronic total energy ... -4.5744 eV per atom
Space-group type ... F-43m (216)

Cell lengths 5.1245, 5.1245, 5.1245 Å; angles 60.00, 60.00, 60.00 degrees
Element x y z (fractional)
Sr 0.0000 0.0000 0.0000
Sr 0.2500 0.2500 0.2500
Tc 0.5000 0.5000 0.5000
Rh 0.7500 0.7500 0.7500

No. 6
DFT (PBE) results for a geometry-optimized Pm8Rh3SBr4 structure.

## Properties
ΔE_f (raw) ... -18.7 eV per formula unit
Space-group type ... C2/m (12)

Cell lengths 8.2832, 8.2832, 9.0108 Å; angles 117.42, 117.42, 60.01 degrees
Element x y z (fractional)
Pm 0.2211 0.7381 0.6968
Pm 0.2320 0.2320 0.6955
Pm 0.2619 0.2619 0.3032
Pm 0.2619 0.7789 0.3032
Pm 0.7381 0.2211 0.6968
Pm 0.7381 0.7381 0.6968
Pm 0.7680 0.7680 0.3045
Pm 0.7789 0.2619 0.3032
Rh 0.0000 0.0000 0.5000
Rh 0.0000 0.5000 0.5000
Rh 0.5000 0.0000 0.5000
S 0.5000 0.5000 0.5000
Br 0.0000 0.0000 0.0000
Br 0.0000 0.5000 0.0000
Br 0.5000 0.0000 0.0000
Br 0.5000 0.5000 0.0000

No. 7
DFT (PBE) results for a geometry-optimized NdCdSb2 structure.

## Properties
ΔE_f (raw) ... -2.1 eV per formula unit
Space-group type ... Cmme (67)

Cell lengths 6.2077, 6.2077, 6.5228 Å; angles 90.00, 90.00, 119.77 degrees
Element x y z (fractional)
Nd 0.2500 0.7500 0.8095
Nd 0.7500 0.2500 0.1905
Cd 0.2500 0.2500 0.5000
Cd 0.7500 0.7500 0.5000
Sb 0.2500 0.2500 0.0000
Sb 0.2500 0.7500 0.3202
Sb 0.7500 0.2500 0.6798
Sb 0.7500 0.7500 0.0000

No. 8
DFT (PBE) results for a geometry-optimized BRuN3 structure.

## Properties
ΔE_f (raw) ... 7.4 eV per formula unit
Space-group type ... Pm-3m (221)

Cell lengths 3.3619, 3.3619, 3.3619 Å; angles 90.00, 90.00, 90.00 degrees
Element x y z (fractional)
B 0.0000 0.0000 0.0000
Ru 0.5000 0.5000 0.5000
N 0.0000 0.0000 0.5000
N 0.0000 0.5000 0.0000
N 0.5000 0.0000 0.0000